This record from Alexandria via LeMat-Bulk describes a relaxed LuTcGe2 crystal. The functional is GGA-PBE.

a b c (Å): 3.217 3.217 6.755
angles (deg): 90.00 90.00 90.00
Positions (direct):
Ge  0.000  0.000  0.795
Ge  0.000  0.000  0.205
Lu  0.500  0.500  0.500
Tc  0.500  0.500  0.000

Computed properties:
Distance to the lowest polymorph of the same formula (meV per atom): 0.0
DFT total energy (eV/atom): -6.374

***

This record from Alexandria via LeMat-Bulk describes a relaxed Lu2TcGe crystal. The functional is GGA-PBE.

a b c (Å): 3.617 4.686 4.686
angles (deg): 90.00 90.00 90.00
Positions (direct):
Ge  0.500  0.000  0.000
Lu  0.000  0.000  0.500
Lu  0.000  0.500  0.000
Tc  0.500  0.500  0.500

Computed properties:
DFT total energy (eV/atom): -6.397

***

The M_tot results, record by record, are as follows: 0.001 0.000 Bohr magnetons per cell.
The formation enthalpy at 0 K results, record by record, are as follows: -7.9 -9.0 kcal/mol of atoms.